Compound: Sr2CaAg
Source: Alexandria via LeMat-Bulk
Functional: PBE
Structure: optimized geometry

Calculated values
Mass density (g/cm3): 3.60
Calculated formation energy (eV/atom): 0.0851
Total DFT energy (no corrections) (eV per formula unit): -7.88
DOS(E_F) (states/eV/cell): 20.80
Total magnetization (Bohr magnetons per cell): 0.00
Energy above the lowest structure with this stoichiometry (meV/atom): 258

Cell: 8.420 8.420 8.420 Å, 90.00 90.00 90.00°
Space group F-43m (No. 216)
Asymmetric unit:
Sr (0.000, 0.000, 0.000) (multiplicity 4)
Sr (0.250, 0.250, 0.250) (multiplicity 4)
Ca (0.000, 0.000, 0.500) (multiplicity 4)
Ag (0.250, 0.250, 0.750) (multiplicity 4)



Compound: Sr2Ca2Ag3
Source: Alexandria via LeMat-Bulk
Functional: PBE
Structure: optimized geometry

Calculated values
Mass density (g/cm3): 4.31
Calculated formation energy (eV/atom): -0.2303
Total DFT energy (no corrections) (eV per formula unit): -17.53
DOS(E_F) (states/eV/cell): 9.81
Total magnetization (Bohr magnetons per cell): 0.00

Cell: 9.189 5.323 9.631 Å, 90.00 108.67 90.00°
Space group C2/m (No. 12)
Asymmetric unit:
Sr (0.123, 0.000, 0.369) (multiplicity 4)
Ca (0.129, 0.500, 0.886) (multiplicity 4)
Ag (0.000, 0.000, 0.000) (multiplicity 2)
Ag (0.245, 0.500, 0.234) (multiplicity 4)



Compound: SrCa2Ag
Source: Alexandria via LeMat-Bulk
Functional: PBE
Structure: optimized geometry

Calculated values
Mass density (g/cm3): 3.38
Calculated formation energy (eV/atom): 0.0656
Total DFT energy (no corrections) (eV per formula unit): -8.27
DOS(E_F) (states/eV/cell): 20.85
Total magnetization (Bohr magnetons per cell): 0.00
Energy above the lowest structure with this stoichiometry (meV/atom): 250

Cell: 8.152 8.152 8.152 Å, 90.00 90.00 90.00°
Space group Fm-3m (No. 225)
Asymmetric unit:
Sr (0.000, 0.000, 0.000) (multiplicity 4)
Ca (0.250, 0.250, 0.250) (multiplicity 8)
Ag (0.000, 0.000, 0.500) (multiplicity 4)